(1)
# TiCdAsSe2

An optimized crystal structure of TiCdAsSe2 (PBE, Alexandria via LeMat-Bulk).

Cell: 5.150 5.150 5.032 Å, 90.00 90.00 90.00°
Fractional coordinates of all 5 atoms:
Cd: 0.000 0.000 0.000
Ti: 0.500 0.500 0.500
Se: 0.500 0.000 0.000
Se: 0.000 0.500 0.000
As: 0.000 0.000 0.500

Results
**Formation energy without anion corrections**: 799 meV per atom
**Space group**: P4/mmm (123)
**Energy above the lowest structure with this stoichiometry**: 4.91 eV per formula unit

(2)
# CdAsWSe2

An optimized crystal structure of CdAsWSe2 (PBE, Alexandria via LeMat-Bulk).

Cell: 4.941 4.941 5.032 Å, 90.00 90.00 90.00°
Fractional coordinates of all 5 atoms:
Cd: 0.500 0.500 0.500
Se: 0.000 0.500 0.000
Se: 0.500 0.000 0.000
W: 0.000 0.000 0.000
As: 0.000 0.000 0.500

Results
**Formation energy without anion corrections**: 310 meV per atom
**Space group**: P4/mmm (123)
**Energy above the lowest structure with this stoichiometry**: 0.00 eV per formula unit

(3)
# CdAsWSe2

An optimized crystal structure of CdAsWSe2 (PBE, Alexandria via LeMat-Bulk).

Cell: 5.128 5.128 5.008 Å, 90.00 90.00 90.00°
Fractional coordinates of all 5 atoms:
Se: 0.000 0.500 0.000
Se: 0.500 0.000 0.000
As: 0.000 0.000 0.500
W: 0.500 0.500 0.500
Cd: 0.000 0.000 0.000

Results
**Formation energy without anion corrections**: 1583 meV per atom
**Space group**: P4/mmm (123)
**Energy above the lowest structure with this stoichiometry**: 6.37 eV per formula unit

(4)
# CdAs2WSe

An optimized crystal structure of CdAs2WSe (PBE, Alexandria via LeMat-Bulk).

Cell: 5.008 5.008 4.854 Å, 90.00 90.00 90.00°
Fractional coordinates of all 5 atoms:
W: 0.000 0.000 0.000
As: 0.000 0.500 0.000
As: 0.500 0.000 0.000
Se: 0.000 0.000 0.500
Cd: 0.500 0.500 0.500

Results
**Formation energy without anion corrections**: 398 meV per atom
**Space group**: P4/mmm (123)
**Energy above the lowest structure with this stoichiometry**: 0.00 eV per formula unit

Number 1: magnetic moment 0.038 μB/cell. Number 2: magnetic moment 0.000 μB/cell. Number 3: magnetic moment 2.494 μB/cell. Number 4: magnetic moment 0.000 μB/cell.